A plane-wave DFT calculation with PBE was carried out for crystalline LiY4Tl3 at its relaxed geometry.

extended XYZ file:
```
8
Lattice="-2.6124 2.6124 7.8536 2.6124 -2.6124 7.8536 2.6124 2.6124 -7.8536" Properties=species:S:1:pos:R:3 pbc="T T T"
Li 0.0000 0.0000 0.0000
Y 2.6124 0.0000 1.9585
Y 2.6124 0.0000 5.8951
Y 0.0000 2.6124 1.9585
Y 0.0000 2.6124 5.8951
Tl 0.0000 0.0000 3.8600
Tl 0.0000 0.0000 7.8536
Tl 0.0000 0.0000 11.8472
```

Results
formation energy: -2.52 eV/f.u.
space group: I4/mmm (139)

A plane-wave DFT calculation with PBE was carried out for crystalline LiY6Tl5 at its relaxed geometry.

extended XYZ file:
```
12
Lattice="2.6731 -8.0867 0.0000 2.6731 8.0867 0.0000 0.0000 0.0000 7.5119" Properties=species:S:1:pos:R:3 pbc="T T T"
Li 0.0000 0.0000 0.0000
Y 2.6731 5.3621 1.8478
Y 2.6731 5.3621 5.6641
Y 2.6731 0.0000 1.9110
Y 2.6731 0.0000 5.6008
Y 2.6731 -5.3621 1.8478
Y 2.6731 -5.3621 5.6641
Tl 0.0000 0.0000 3.7559
Tl 2.6731 2.6918 3.7559
Tl 2.6731 2.5101 0.0000
Tl 2.6731 -2.5101 0.0000
Tl 2.6731 -2.6918 3.7559
```

Results
formation energy: -4.15 eV/f.u.
space group: Cmmm (65)

A plane-wave DFT calculation with PBE was carried out for crystalline LiYTl3 at its relaxed geometry.

extended XYZ file:
```
10
Lattice="12.4916 -2.2790 0.0000 12.4916 2.2790 0.0000 -0.8547 0.0000 4.5928" Properties=species:S:1:pos:R:3 pbc="T T T"
Li 3.1716 0.0000 1.7927
Li 20.9570 0.0000 2.8001
Y 10.6395 0.0000 0.8431
Y 13.4892 0.0000 3.7497
Tl 0.6889 0.0000 1.3143
Tl 4.1157 0.0000 4.3484
Tl 6.9988 0.0000 2.5231
Tl 17.1298 0.0000 2.0697
Tl 20.0129 0.0000 0.2444
Tl 23.4398 0.0000 3.2785
```

Results
energy above the most stable polymorph in this dataset: 0.000 eV/atom
formation energy: -0.52 eV/f.u.
space group: C2/m (12)

A plane-wave DFT calculation with PBE was carried out for crystalline Li4YTl5 at its relaxed geometry.

extended XYZ file:
```
10
Lattice="3.5677 0.0000 0.0000 0.0000 3.5677 0.0000 0.0000 0.0000 17.6067" Properties=species:S:1:pos:R:3 pbc="T T T"
Li 0.0000 0.0000 1.7278
Li 0.0000 0.0000 5.0787
Li 0.0000 0.0000 12.5280
Li 0.0000 0.0000 15.8789
Y 0.0000 0.0000 8.8034
Tl 1.7839 1.7839 0.0000
Tl 1.7839 1.7839 3.4089
Tl 1.7839 1.7839 6.6879
Tl 1.7839 1.7839 10.9188
Tl 1.7839 1.7839 14.1978
```

Results
formation energy: -2.49 eV/f.u.
space group: P4/mmm (123)

Mass density for the records above, in order: 7.6, 8.0, 9.0, 8.4 g/cm3